The following is a meta-GGA SCAN calculation of a PBEsol-optimized structure of Cd4Mo, from Alexandria via LeMat-Bulk.

Structure (CIF):
```
data_Cd4Mo
_space_group_name_H-M_alt 'P 1'
_space_group_IT_number 1
_cell_length_a 5.220
_cell_length_b 5.220
_cell_length_c 5.220
_cell_angle_alpha 99.14
_cell_angle_beta 99.14
_cell_angle_gamma 133.02
loop_
_space_group_symop_operation_xyz
'x,y,z'
loop_
_atom_site_label
_atom_site_fract_x
_atom_site_fract_y
_atom_site_fract_z
Cd1 0.101 0.295 0.396
Cd2 0.295 0.899 0.194
Cd3 0.705 0.101 0.806
Cd4 0.899 0.705 0.604
Mo1 0.500 0.500 0.000
```

Summary:
**Energy relative to the elements**: 0.40 eV/atom